First-principles (GGA-PBE) data for an optimized crystal structure of InSn12Pt4, as listed in Alexandria.

a b c (Å): 8.2826 8.2826 8.2826
angles (deg): 109.47 109.47 109.47
Fractional coordinates of all 17 atoms:
In: 0.0000 0.0000 0.0000
Sn: 0.8434 0.3401 0.1835
Sn: 0.3401 0.4967 0.1566
Sn: 0.8165 0.1566 0.6599
Sn: 0.3401 0.1835 0.8434
Sn: 0.1835 0.8434 0.3401
Sn: 0.6599 0.5033 0.8434
Sn: 0.4967 0.1566 0.3401
Sn: 0.5033 0.8434 0.6599
Sn: 0.6599 0.8165 0.1566
Sn: 0.8434 0.6599 0.5033
Sn: 0.1566 0.3401 0.4967
Sn: 0.1566 0.6599 0.8165
Pt: 0.0000 0.5000 0.0000
Pt: 0.5000 0.0000 0.0000
Pt: 0.5000 0.5000 0.5000
Pt: 0.0000 0.0000 0.5000

As for the formation energy: -6.7 kcal/mol of atoms. The value obtained for the total energy is -4.697 eV per atom.